Li2Sb | GGA-PBEsol | relaxed

Results
- polymorph energy (0 for the lowest one) (eV per atom) = 0.018
- density of states at the Fermi level (states/eV/atom) = 0.194
- raw total energy (eV/cell) = -10.2
- magnetic moment (μB/f.u.) = 0.0
- energy relative to the elements, uncorrected (eV/atom) = -0.572

a = 3.164 Å, b = 4.309 Å, c = 4.926 Å
α = 115.93°, β = 108.73°, γ = 90.00°
Fractional coordinates of all 3 atoms:
1 Sb 0.000 0.000 0.000
2 Li 0.661 0.661 0.322
3 Li 0.339 0.339 0.678